No. 1
Density functional theory data (GGA-PBE) for TbPm2OsN4 after structural relaxation.

Computed properties:
**Raw total energy**: -8.1557 eV per atom
**Uncorrected formation energy**: -0.82 eV per atom

Cell: 3.441 6.182 12.065 Å, 90.00 90.00 106.16°
Fractional positions:
N (0.273, 0.545, 0.138)
N (0.000, 0.000, 0.500)
N (0.273, 0.545, 0.362)
Pm (0.368, 0.736, 0.959)
N (0.727, 0.455, 0.638)
N (0.727, 0.455, 0.862)
Pm (0.368, 0.736, 0.541)
N (0.561, 0.121, 0.250)
N (0.439, 0.879, 0.750)
Os (0.859, 0.717, 0.750)
Pm (0.632, 0.264, 0.459)
Pm (0.632, 0.264, 0.041)
N (0.000, 0.000, 0.000)
Tb (0.871, 0.743, 0.250)
Tb (0.129, 0.257, 0.750)
Os (0.141, 0.283, 0.250)

***

No. 2
Density functional theory data (GGA-PBE) for PmTh2OsN5 after structural relaxation.

Computed properties:
**Raw total energy**: -8.9990 eV per atom
**Uncorrected formation energy**: -0.95 eV per atom

Cell: 6.751 6.751 7.626 Å, 116.27 116.27 90.00°
Fractional positions:
Os (0.750, 0.250, 0.500)
Os (0.250, 0.750, 0.500)
N (0.283, 0.783, 0.275)
Pm (0.250, 0.250, 0.500)
Th (0.179, 0.321, 0.000)
Th (0.679, 0.179, 0.000)
N (0.000, 0.000, 0.000)
N (0.992, 0.492, 0.275)
N (0.008, 0.508, 0.725)
N (0.717, 0.217, 0.725)
N (0.492, 0.283, 0.275)
Th (0.821, 0.679, 0.000)
N (0.217, 0.008, 0.725)
N (0.783, 0.992, 0.275)
Th (0.321, 0.821, 0.000)
N (0.500, 0.500, 0.000)
N (0.508, 0.717, 0.725)
Pm (0.750, 0.750, 0.500)

***

No. 3
Density functional theory data (GGA-PBE) for PmTm2OsN4 after structural relaxation.

Computed properties:
**Raw total energy**: -8.2878 eV per atom
**Uncorrected formation energy**: -1.01 eV per atom

Cell: 3.400 6.034 11.514 Å, 90.00 90.00 106.37°
Fractional positions:
Os (0.140, 0.280, 0.250)
N (0.446, 0.893, 0.750)
N (0.000, 0.000, 0.500)
N (0.265, 0.531, 0.126)
Pm (0.122, 0.244, 0.750)
N (0.735, 0.469, 0.626)
N (0.000, 0.000, 0.000)
N (0.554, 0.107, 0.250)
Tm (0.631, 0.262, 0.459)
Tm (0.631, 0.262, 0.041)
Tm (0.369, 0.738, 0.959)
Os (0.860, 0.720, 0.750)
Tm (0.369, 0.738, 0.541)
N (0.265, 0.531, 0.374)
Pm (0.878, 0.756, 0.250)
N (0.735, 0.469, 0.874)

***

No. 4
Density functional theory data (GGA-PBE) for PmY2OsN4 after structural relaxation.

Computed properties:
**Raw total energy**: -8.7192 eV per atom
**Uncorrected formation energy**: -0.94 eV per atom

Cell: 3.429 6.099 11.717 Å, 90.00 90.00 106.33°
Fractional positions:
Y (0.369, 0.737, 0.959)
N (0.557, 0.115, 0.250)
N (0.000, 0.000, 0.500)
Y (0.631, 0.263, 0.041)
Y (0.631, 0.263, 0.459)
Y (0.369, 0.737, 0.541)
N (0.733, 0.466, 0.871)
N (0.000, 0.000, 0.000)
Pm (0.123, 0.245, 0.750)
N (0.267, 0.534, 0.129)
Os (0.141, 0.282, 0.250)
N (0.443, 0.885, 0.750)
N (0.733, 0.466, 0.629)
N (0.267, 0.534, 0.371)
Os (0.859, 0.718, 0.750)
Pm (0.877, 0.755, 0.250)

***

No. 5
Density functional theory data (GGA-PBE) for Pm2YOsN4 after structural relaxation.

Computed properties:
**Raw total energy**: -8.3766 eV per atom
**Uncorrected formation energy**: -0.81 eV per atom

Cell: 3.439 6.180 12.068 Å, 90.00 90.00 106.16°
Fractional positions:
N (0.000, 0.000, 0.500)
Os (0.141, 0.282, 0.250)
N (0.560, 0.121, 0.250)
N (0.728, 0.455, 0.862)
Pm (0.368, 0.736, 0.959)
Y (0.870, 0.741, 0.250)
Pm (0.368, 0.736, 0.541)
N (0.440, 0.879, 0.750)
N (0.728, 0.455, 0.638)
N (0.000, 0.000, 0.000)
N (0.272, 0.545, 0.362)
Os (0.859, 0.718, 0.750)
N (0.272, 0.545, 0.138)
Pm (0.632, 0.264, 0.041)
Pm (0.632, 0.264, 0.459)
Y (0.130, 0.259, 0.750)

***

No. 6
Density functional theory data (GGA-PBE) for Pr6Os2N after structural relaxation.

Computed properties:
**Raw total energy**: -6.9304 eV per atom
**Uncorrected formation energy**: -0.32 eV per atom

Cell: 6.723 7.471 9.647 Å, 90.00 89.05 90.00°
Fractional positions:
Pr (0.332, 0.810, 0.936)
Pr (0.187, 0.334, 0.939)
Os (0.035, 0.600, 0.754)
Pr (0.832, 0.690, 0.436)
Pr (0.313, 0.834, 0.561)
Os (0.535, 0.900, 0.254)
Pr (0.668, 0.190, 0.064)
Pr (0.624, 0.452, 0.756)
Os (0.465, 0.100, 0.746)
Pr (0.376, 0.548, 0.244)
Pr (0.813, 0.666, 0.061)
Pr (0.687, 0.166, 0.439)
Os (0.965, 0.400, 0.246)
Pr (0.876, 0.952, 0.744)
Pr (0.124, 0.048, 0.256)
Pr (0.168, 0.310, 0.564)
N (0.500, 0.500, 0.000)
N (0.000, 0.000, 0.500)